1.
Crystalline SrNbGa2 at its relaxed geometry. Source: the Alexandria database, functional PBE-GGA.

SG   I-42d, No. 122
Energy of formation   0.341 eV/atom
Final energy   -0.302 Ry/atom
Total magnetic moment   0.285 μB per atom
ρ   4.63 g/cm³

a b c (Å): 9.839 9.839 9.839
angles (deg): 150.57 150.57 42.10
Positions (direct):
Sr1 0.000 0.000 0.000
Sr2 0.750 0.250 0.500
Nb1 0.250 0.750 0.500
Nb2 0.500 0.500 0.000
Ga1 0.285 0.625 0.160
Ga2 0.375 0.535 0.660
Ga3 0.465 0.125 0.840
Ga4 0.875 0.715 0.340


2.
Crystalline TmAl2Ge at its relaxed geometry. Source: the Alexandria database, functional PBE-GGA.

SG   R-3m, No. 166
ΔE to the lowest computed polymorph   0.854 eV/atom
Energy of formation   0.448 eV/atom
Final energy   -0.272 Ry/atom
Total magnetic moment   0.000 μB per atom
ρ   4.49 g/cm³

a b c (Å): 8.961 8.961 8.961
angles (deg): 24.56 24.56 24.56
Positions (direct):
Tm1 0.000 0.000 0.000
Al1 0.117 0.117 0.117
Al2 0.883 0.883 0.883
Ge1 0.500 0.500 0.500


3.
Crystalline SiAg2Pb at its relaxed geometry. Source: the Alexandria database, functional PBE-GGA.

SG   Immm, No. 71
ΔE to the lowest computed polymorph   0.059 eV/atom
Final energy   -0.249 Ry/atom
Total magnetic moment   0.000 μB per atom
ρ   8.89 g/cm³
Formation energy (no corrections)   0.33 eV per atom

a b c (Å): 5.779 5.779 5.779
angles (deg): 146.77 126.27 64.66
Positions (direct):
Si1 0.000 0.000 0.000
Ag1 0.219 0.719 0.500
Ag2 0.781 0.281 0.500
Pb1 0.500 0.500 0.000


4.
Crystalline LuSeCl at its relaxed geometry. Source: the Alexandria database, functional PBE-GGA.

SG   P3m1, No. 156
Final energy   -0.385 Ry/atom
Total magnetic moment   0.000 μB per atom
ρ   5.17 g/cm³
Formation energy (no corrections)   -1.96 eV per atom

a b c (Å): 3.989 3.989 6.749
angles (deg): 90.00 90.00 120.00
Positions (direct):
Lu1 0.000 0.000 0.000
Se1 0.333 0.667 0.789
Cl1 0.667 0.333 0.233


Q: The highest final energy belongs to which entry?
A: SiAg2Pb


Q: The lowest final energy belongs to which entry?
A: LuSeCl